# PBE KInSb3, optimized geometry
# Distance to the lowest polymorph of the same formula, eV per atom: 0.736
# Formation energy (no corrections), eV per atom: 1.057
data_KInSb3
_chemical_formula_sum 'K1 In1 Sb3'
_space_group_name_H-M_alt 'P m -3 m'
_space_group_IT_number 221
_space_group_name_Hall '-P 4 2 3'
_cell_length_a 5.892
_cell_length_b 5.892
_cell_length_c 5.892
_cell_angle_alpha 90.00
_cell_angle_beta 90.00
_cell_angle_gamma 90.00
loop_
_atom_site_label
_atom_site_fract_x
_atom_site_fract_y
_atom_site_fract_z
K1 0.000 0.000 0.000
In1 0.500 0.500 0.500
Sb1 0.000 0.000 0.500

# PBE Hf2GaAu, optimized geometry
# DFT total energy, eV per atom: -6.680
data_Hf2GaAu
_chemical_formula_sum 'Hf6 Ga3 Au3'
_space_group_name_H-M_alt 'R 3 m'
_space_group_IT_number 160
_space_group_name_Hall 'R 3 -2"'
_cell_length_a 4.3357
_cell_length_b 4.3357
_cell_length_c 15.5054
_cell_angle_alpha 90.00
_cell_angle_beta 90.00
_cell_angle_gamma 120.00
loop_
_atom_site_label
_atom_site_fract_x
_atom_site_fract_y
_atom_site_fract_z
Hf1 0.0000 0.0000 0.0000
Hf2 0.0000 0.0000 0.2060
Ga1 0.0000 0.0000 0.7964
Au1 0.0000 0.0000 0.4033

# PBE Li3CaSn, optimized geometry
# Distance to the lowest polymorph of the same formula, eV per atom: 0.000
data_Li3CaSn
_chemical_formula_sum 'Li12 Ca4 Sn4'
_space_group_name_H-M_alt 'P 1 21/c 1'
_space_group_IT_number 14
_space_group_name_Hall '-P 2ybc'
_cell_length_a 7.752
_cell_length_b 6.471
_cell_length_c 9.886
_cell_angle_alpha 90.00
_cell_angle_beta 108.13
_cell_angle_gamma 90.00
loop_
_atom_site_label
_atom_site_fract_x
_atom_site_fract_y
_atom_site_fract_z
Li1 0.013 0.241 0.001
Li2 0.271 0.017 0.803
Li3 0.408 0.742 0.110
Ca1 0.218 0.510 0.811
Sn1 0.387 0.218 0.087

# PBE PrSm2Ti, optimized geometry
# DFT total energy, eV per atom: -5.069
data_PrSm2Ti
_chemical_formula_sum 'Pr3 Sm6 Ti3'
_space_group_name_H-M_alt 'R -3 m'
_space_group_IT_number 166
_space_group_name_Hall '-R 3 2"'
_cell_length_a 3.4178
_cell_length_b 3.4178
_cell_length_c 36.1973
_cell_angle_alpha 90.00
_cell_angle_beta 90.00
_cell_angle_gamma 120.00
loop_
_atom_site_label
_atom_site_fract_x
_atom_site_fract_y
_atom_site_fract_z
Pr1 0.0000 0.0000 0.0000
Sm1 0.0000 0.0000 0.4181
Ti1 0.0000 0.0000 0.5000

# PBE CaLu3Os, optimized geometry
# DFT total energy, eV per atom: -5.473
data_CaLu3Os
_chemical_formula_sum 'Ca1 Lu3 Os1'
_space_group_name_H-M_alt 'P m -3 m'
_space_group_IT_number 221
_space_group_name_Hall '-P 4 2 3'
_cell_length_a 5.359
_cell_length_b 5.359
_cell_length_c 5.359
_cell_angle_alpha 90.00
_cell_angle_beta 90.00
_cell_angle_gamma 90.00
loop_
_atom_site_label
_atom_site_fract_x
_atom_site_fract_y
_atom_site_fract_z
Ca1 0.000 0.000 0.000
Lu1 0.000 0.500 0.500
Os1 0.500 0.500 0.500

# PBE Li3As2Se4, optimized geometry
# Formation energy (no corrections), eV per atom: -0.585
data_Li3As2Se4
_chemical_formula_sum 'Li12 As8 Se16'
_space_group_name_H-M_alt 'C 1 2/c 1'
_space_group_IT_number 15
_space_group_name_Hall '-C 2yc'
_cell_length_a 11.727
_cell_length_b 13.200
_cell_length_c 7.074
_cell_angle_alpha 90.00
_cell_angle_beta 121.71
_cell_angle_gamma 90.00
loop_
_atom_site_label
_atom_site_fract_x
_atom_site_fract_y
_atom_site_fract_z
Li1 0.000 0.249 0.250
Li2 0.250 0.016 0.499
As1 0.124 0.250 0.940
Se1 0.098 0.102 0.101
Se2 0.098 0.397 0.102

# PBE Th3C2, optimized geometry
# Distance to the lowest polymorph of the same formula, eV per atom: 0.000
data_Th3C2
_chemical_formula_sum 'Th9 C6'
_space_group_name_H-M_alt 'R -3 m'
_space_group_IT_number 166
_space_group_name_Hall '-R 3 2"'
_cell_length_a 3.6968
_cell_length_b 3.6968
_cell_length_c 27.0447
_cell_angle_alpha 90.00
_cell_angle_beta 90.00
_cell_angle_gamma 120.00
loop_
_atom_site_label
_atom_site_fract_x
_atom_site_fract_y
_atom_site_fract_z
Th1 0.0000 0.0000 0.0000
Th2 0.0000 0.0000 0.2217
C1 0.0000 0.0000 0.3938

# PBE Pu5Hg2Pd4, optimized geometry
# DFT total energy, eV per atom: -8.581
data_Pu5Hg2Pd4
_chemical_formula_sum 'Pu10 Hg4 Pd8'
_space_group_name_H-M_alt 'I m m m'
_space_group_IT_number 71
_space_group_name_Hall '-I 2 2'
_cell_length_a 3.937
_cell_length_b 7.197
_cell_length_c 19.600
_cell_angle_alpha 90.00
_cell_angle_beta 90.00
_cell_angle_gamma 90.00
loop_
_atom_site_label
_atom_site_fract_x
_atom_site_fract_y
_atom_site_fract_z
Pu1 0.000 0.000 0.000
Pu2 0.000 0.267 0.339
Hg1 0.000 0.500 0.075
Pd1 0.000 0.213 0.500
Pd2 0.000 0.500 0.218

# PBE Li2Sc2Pt, optimized geometry
# DFT total energy, eV per atom: -4.740
data_Li2Sc2Pt
_chemical_formula_sum 'Li4 Sc4 Pt2'
_space_group_name_H-M_alt 'P 4/m b m'
_space_group_IT_number 127
_space_group_name_Hall '-P 4 2ab'
_cell_length_a 6.409
_cell_length_b 6.409
_cell_length_c 4.228
_cell_angle_alpha 90.00
_cell_angle_beta 90.00
_cell_angle_gamma 90.00
loop_
_atom_site_label
_atom_site_fract_x
_atom_site_fract_y
_atom_site_fract_z
Li1 0.120 0.380 0.000
Sc1 0.202 0.702 0.500
Pt1 0.000 0.000 0.000

# PBE AcDyRe, optimized geometry
# DFT total energy, eV per atom: -6.726
data_AcDyRe
_chemical_formula_sum 'Ac4 Dy4 Re4'
_space_group_name_H-M_alt 'C 1 m 1'
_space_group_IT_number 8
_space_group_name_Hall 'C -2y'
_cell_length_a 14.370
_cell_length_b 5.171
_cell_length_c 5.552
_cell_angle_alpha 90.00
_cell_angle_beta 112.51
_cell_angle_gamma 90.00
loop_
_atom_site_label
_atom_site_fract_x
_atom_site_fract_y
_atom_site_fract_z
Ac1 0.000 0.000 0.000
Ac2 0.094 0.500 0.593
Dy1 0.296 0.500 0.213
Dy2 0.297 0.000 0.611
Re1 0.207 0.000 0.005
Re2 0.386 0.000 0.185

# PBE Si5Pt4, optimized geometry
# Distance to the lowest polymorph of the same formula, eV per atom: 0.000
# Formation energy (no corrections), eV per atom: -0.184
data_Si5Pt4
_chemical_formula_sum 'Si10 Pt8'
_space_group_name_H-M_alt 'P 63/m c m'
_space_group_IT_number 193
_space_group_name_Hall '-P 6c 2'
_cell_length_a 6.8902
_cell_length_b 6.8902
_cell_length_c 7.1984
_cell_angle_alpha 90.00
_cell_angle_beta 90.00
_cell_angle_gamma 120.00
loop_
_atom_site_label
_atom_site_fract_x
_atom_site_fract_y
_atom_site_fract_z
Si1 0.0000 0.2505 0.2500
Si2 0.3333 0.6667 0.0000
Pt1 0.0000 0.0000 0.0000
Pt2 0.0000 0.4062 0.7500

# PBE W2C, optimized geometry
# DFT total energy, eV per atom: -11.731
data_W2C
_chemical_formula_sum 'W8 C4'
_space_group_name_H-M_alt 'P b c n'
_space_group_IT_number 60
_space_group_name_Hall '-P 2n 2ab'
_cell_length_a 4.757
_cell_length_b 6.100
_cell_length_c 5.245
_cell_angle_alpha 90.00
_cell_angle_beta 90.00
_cell_angle_gamma 90.00
loop_
_atom_site_label
_atom_site_fract_x
_atom_site_fract_y
_atom_site_fract_z
W1 0.245 0.123 0.080
C1 0.000 0.378 0.250

| no. | ρ (g/cm³) |
| --- | --- |
| 1 | 4.22 |
| 2 | 12.30 |
| 3 | 2.53 |
| 4 | 6.66 |
| 5 | 8.15 |
| 6 | 3.47 |
| 7 | 11.21 |
| 8 | 12.24 |
| 9 | 5.72 |
| 10 | 10.03 |
| 11 | 10.33 |
| 12 | 16.57 |